1.
SmBeF | PBE | optimized geometry

Calculated values
For the calculated volume, the calculation gives 15.22 Å³/atom. Its symmetry is P4/nmm (129). The magnetic moment is 0.000 μB per atom. As for the uncorrected formation energy: -1.40 eV/atom.

a b c (Å): 3.1896 3.1896 8.9732
angles (deg): 90.00 90.00 90.00
Element x y z (fractional)
1 Be 0.0000 0.5000 0.5528
2 Be 0.5000 0.0000 0.4472
3 Sm 0.0000 0.5000 0.2132
4 Sm 0.5000 0.0000 0.7868
5 F 0.5000 0.0000 0.0767
6 F 0.0000 0.5000 0.9233

2.
Bi2BSe | PBE | optimized geometry

Calculated values
For the calculated volume, the calculation gives 22.82 Å³/atom. Its symmetry is Fm-3m (225). The magnetic moment is 0.000 μB per atom. As for the uncorrected formation energy: 0.91 eV/atom. For the energy above the most stable polymorph in this dataset, the calculation gives 137.2 kJ/mol of formula units.

a b c (Å): 5.0543 5.0543 5.0543
angles (deg): 60.00 60.00 60.00
Element x y z (fractional)
1 B 0.0000 0.0000 0.0000
2 Bi 0.2500 0.2500 0.2500
3 Bi 0.7500 0.7500 0.7500
4 Se 0.5000 0.5000 0.5000

3.
Rb2ThInTe5 | PBE | optimized geometry

Calculated values
For the calculated volume, the calculation gives 43.56 Å³/atom. Its symmetry is Cmc2_1 (36). The magnetic moment is 0.000 μB per atom. As for the uncorrected formation energy: -0.84 eV/atom.

a b c (Å): 4.3921 11.3709 16.0002
angles (deg): 90.00 90.00 101.14
Element x y z (fractional)
1 Rb 0.8696 0.7393 0.8231
2 Rb 0.1299 0.2598 0.6923
3 Rb 0.1304 0.2607 0.3231
4 Rb 0.8701 0.7402 0.1923
5 Th 0.7956 0.5912 0.5230
6 Th 0.2044 0.4088 0.0230
7 In 0.5641 0.1283 0.9260
8 In 0.4359 0.8717 0.4260
9 Te 0.3414 0.6828 0.0083
10 Te 0.6909 0.3817 0.8790
11 Te 0.5034 0.0068 0.7761
12 Te 0.3019 0.6038 0.6574
13 Te 0.9444 0.8888 0.5386
14 Te 0.6586 0.3172 0.5083
15 Te 0.3091 0.6183 0.3790
16 Te 0.4966 0.9932 0.2761
17 Te 0.6981 0.3962 0.1574
18 Te 0.0556 0.1112 0.0386

4.
Pr2TlBr | PBE | optimized geometry

Calculated values
For the calculated volume, the calculation gives 31.31 Å³/atom. Its symmetry is Pmmn (59). The magnetic moment is 0.000 μB per atom. As for the uncorrected formation energy: -0.72 eV/atom. For the energy above the most stable polymorph in this dataset, the calculation gives 15.5 kJ/mol of formula units.

a b c (Å): 4.3690 5.1326 22.3378
angles (deg): 90.00 90.00 90.00
Element x y z (fractional)
1 Pr 0.2500 0.2501 0.5192
2 Pr 0.7500 0.7501 0.9808
3 Pr 0.7500 0.7499 0.4808
4 Pr 0.2500 0.2499 0.0192
5 Pr 0.2500 0.7504 0.8406
6 Pr 0.7500 0.2504 0.6594
7 Pr 0.7500 0.2496 0.1594
8 Pr 0.2500 0.7496 0.3406
9 Tl 0.2500 0.7502 0.6045
10 Tl 0.7500 0.2502 0.8955
11 Tl 0.7500 0.2498 0.3955
12 Tl 0.2500 0.7498 0.1045
13 Br 0.2500 0.2504 0.7618
14 Br 0.7500 0.7504 0.7382
15 Br 0.7500 0.7496 0.2382
16 Br 0.2500 0.2496 0.2618

5.
Pm3TmGa2 | PBE | optimized geometry

Calculated values
For the calculated volume, the calculation gives 27.63 Å³/atom. Its symmetry is C2/m (12). The magnetic moment is 0.000 μB per atom. For the energy above the most stable polymorph in this dataset, the calculation gives 21.5 kJ/mol of formula units. As for the energy relative to the elements: -0.37 eV per atom.

a b c (Å): 5.1091 10.9667 7.9828
angles (deg): 129.01 90.00 103.47
Element x y z (fractional)
1 Pm 0.3191 0.6382 0.6359
2 Pm 0.9420 0.8840 0.7081
3 Pm 0.6199 0.2399 0.7035
4 Pm 0.3801 0.7601 0.2965
5 Pm 0.0580 0.1160 0.2919
6 Pm 0.6809 0.3618 0.3641
7 Tm 0.8357 0.6714 0.9518
8 Tm 0.1643 0.3286 0.0482
9 Ga 0.5323 0.0647 0.8945
10 Ga 0.4677 0.9353 0.1055
11 Ga 0.7806 0.5611 0.2251
12 Ga 0.2194 0.4389 0.7749

6.
MgAgTe3 | PBE | optimized geometry

Calculated values
For the calculated volume, the calculation gives 32.32 Å³/atom. Its symmetry is Pm-3m (221). The magnetic moment is 0.000 μB per atom. As for the uncorrected formation energy: 0.38 eV/atom. For the energy above the most stable polymorph in this dataset, the calculation gives 7.8 kJ/mol of formula units.

a b c (Å): 5.4467 5.4467 5.4467
angles (deg): 90.00 90.00 90.00
Element x y z (fractional)
1 Mg 0.5000 0.5000 0.5000
2 Te 0.0000 0.5000 0.0000
3 Te 0.0000 0.0000 0.5000
4 Te 0.5000 0.0000 0.0000
5 Ag 0.0000 0.0000 0.0000

7.
Ca2IrBr | PBE | optimized geometry

Calculated values
For the calculated volume, the calculation gives 23.64 Å³/atom. Its symmetry is Amm2 (38). The magnetic moment is 0.000 μB per atom. As for the uncorrected formation energy: -0.70 eV/atom. For the energy above the most stable polymorph in this dataset, the calculation gives 65.8 kJ/mol of formula units.

a b c (Å): 5.7236 5.7236 4.8558
angles (deg): 90.00 90.00 36.47
Element x y z (fractional)
1 Ca 0.9949 0.9949 0.8749
2 Ca 0.2586 0.2586 0.3750
3 Ir 0.5186 0.5186 0.3750
4 Br 0.7280 0.7280 0.8751

8.
Cs2TlGaH6 | PBE | optimized geometry

Calculated values
For the calculated volume, the calculation gives 17.22 Å³/atom. Its symmetry is Fm-3m (225). The magnetic moment is 0.000 μB per atom. The electronic total energy comes out at -0.2032 Ry per atom.

a b c (Å): 6.2446 6.2446 6.2446
angles (deg): 60.00 60.00 60.00
Element x y z (fractional)
1 Cs 0.2500 0.2500 0.2500
2 Cs 0.7500 0.7500 0.7500
3 Tl 0.0000 0.0000 0.0000
4 Ga 0.5000 0.5000 0.5000
5 H 0.7034 0.2966 0.7034
6 H 0.2966 0.2966 0.7034
7 H 0.7034 0.7034 0.2966
8 H 0.2966 0.7034 0.7034
9 H 0.7034 0.2966 0.2966
10 H 0.2966 0.7034 0.2966

9.
CrCdAu2 | PBE | optimized geometry

Calculated values
For the calculated volume, the calculation gives 18.32 Å³/atom. Its symmetry is Cm (8). The magnetic moment is 1.002 μB per atom. As for the energy relative to the elements: 0.06 eV per atom.

a b c (Å): 5.1030 5.1030 4.7425
angles (deg): 75.71 75.71 37.93
Each line ends with the local moment (μB).
Element x y z (fractional)
1 Au 0.0056 0.0056 0.9785  0.03
2 Au 0.2510 0.2510 0.2620  0.04
3 Cd 0.4989 0.4989 0.4872  -0.01
4 Cr 0.7445 0.7445 0.7724  3.62

10.
Tb5HoTm4 | PBE | optimized geometry

Calculated values
For the calculated volume, the calculation gives 31.13 Å³/atom. Its symmetry is C2/m (12). The magnetic moment is 0.000 μB per atom. For the energy above the most stable polymorph in this dataset, the calculation gives 0.0 kJ/mol of formula units. As for the energy relative to the elements: 0.04 eV per atom.

a b c (Å): 3.5000 11.2359 11.7777
angles (deg): 136.50 98.54 90.00
Element x y z (fractional)
1 Tb 0.2119 0.3064 0.4239
2 Tb 0.1890 0.8016 0.3780
3 Tb 0.8110 0.1984 0.6220
4 Tb 0.5000 0.5000 0.0000
5 Tb 0.7881 0.6936 0.5761
6 Ho 0.5000 0.0000 0.0000
7 Tm 0.6052 0.9148 0.2104
8 Tm 0.0828 0.3725 0.1657
9 Tm 0.3948 0.0852 0.7896
10 Tm 0.9172 0.6275 0.8343

11.
Na3Te5S12 | PBE | optimized geometry

Calculated values
For the calculated volume, the calculation gives 27.46 Å³/atom. Its symmetry is Ia-3d (230). The magnetic moment is 0.000 μB per atom. As for the uncorrected formation energy: -0.07 eV/atom.

a b c (Å): 14.1840 14.1840 14.1840
angles (deg): 109.47 109.47 109.47
Element x y z (fractional)
1 Na 0.7500 0.3750 0.1250
2 Na 0.8750 0.7500 0.1250
3 Na 0.3750 0.7500 0.6250
4 Na 0.2500 0.1250 0.3750
5 Na 0.8750 0.1250 0.2500
6 Na 0.3750 0.6250 0.2500
7 Na 0.6250 0.3750 0.7500
8 Na 0.1250 0.8750 0.7500
9 Na 0.7500 0.8750 0.6250
10 Na 0.6250 0.2500 0.3750
11 Na 0.1250 0.2500 0.8750
12 Na 0.2500 0.6250 0.8750
13 Te 0.1250 0.3750 0.2500
14 Te 0.0000 0.5000 0.0000
15 Te 0.0000 0.0000 0.0000
16 Te 0.3750 0.2500 0.1250
17 Te 0.5000 0.0000 0.5000
18 Te 0.5000 0.5000 0.0000
19 Te 0.1250 0.7500 0.3750
20 Te 0.7500 0.1250 0.8750
21 Te 0.7500 0.6250 0.3750
22 Te 0.3750 0.1250 0.7500
23 Te 0.6250 0.8750 0.2500
24 Te 0.5000 0.5000 0.5000
25 Te 0.5000 0.0000 0.0000
26 Te 0.0000 0.0000 0.5000
27 Te 0.2500 0.3750 0.6250
28 Te 0.2500 0.8750 0.1250
29 Te 0.0000 0.5000 0.5000
30 Te 0.8750 0.2500 0.6250
31 Te 0.6250 0.7500 0.8750
32 Te 0.8750 0.6250 0.7500
33 S 0.7076 0.1279 0.0353
34 S 0.3277 0.5353 0.4074
35 S 0.9647 0.3721 0.2924
36 S 0.5353 0.2076 0.1279
37 S 0.5797 0.7076 0.6723
38 S 0.9647 0.5926 0.1723
39 S 0.3277 0.7924 0.4203
40 S 0.0926 0.9203 0.1279
41 S 0.5926 0.9647 0.6723
42 S 0.7076 0.5797 0.1723
43 S 0.7924 0.4647 0.3721
44 S 0.8277 0.9074 0.0353
45 S 0.1279 0.7076 0.5353
46 S 0.3721 0.4074 0.0797
47 S 0.0797 0.9074 0.3721
48 S 0.4203 0.1279 0.5926
49 S 0.0797 0.1723 0.2076
50 S 0.4647 0.6723 0.0926
51 S 0.8277 0.9203 0.2924
52 S 0.1279 0.4203 0.0926
53 S 0.3721 0.9647 0.7924
54 S 0.5926 0.6279 0.4203
55 S 0.9074 0.8277 0.5353
56 S 0.7924 0.3277 0.9203
57 S 0.4074 0.3721 0.5797
58 S 0.0926 0.1723 0.4647
59 S 0.2076 0.6723 0.0797
60 S 0.1723 0.0797 0.7076
61 S 0.6279 0.0353 0.2076
62 S 0.8721 0.5797 0.9074
63 S 0.5353 0.3277 0.9074
64 S 0.5797 0.8721 0.4074
65 S 0.9203 0.8277 0.7924
66 S 0.9203 0.0926 0.6279
67 S 0.8721 0.2924 0.4647
68 S 0.1723 0.0926 0.9647
69 S 0.6279 0.5926 0.9203
70 S 0.4074 0.0353 0.3277
71 S 0.2924 0.4203 0.8277
72 S 0.2076 0.5353 0.6279
73 S 0.9074 0.0797 0.8721
74 S 0.6723 0.2076 0.5797
75 S 0.4647 0.7924 0.8721
76 S 0.0353 0.4074 0.8277
77 S 0.4203 0.2924 0.3277
78 S 0.0353 0.6279 0.7076
79 S 0.6723 0.4647 0.5926
80 S 0.2924 0.8721 0.9647

12.
InHgB | PBE | optimized geometry

Calculated values
For the calculated volume, the calculation gives 21.62 Å³/atom. Its symmetry is P1 (1). The magnetic moment is 0.000 μB per atom. As for the energy relative to the elements: 0.29 eV per atom.

a b c (Å): 6.4397 3.1768 6.4394
angles (deg): 95.08 88.89 81.50
Element x y z (fractional)
1 B 0.9567 0.4074 0.9083
2 B 0.9657 0.9066 0.9005
3 Hg 0.3456 0.9703 0.7936
4 Hg 0.1801 0.5971 0.3295
5 In 0.6402 0.3162 0.1521
6 In 0.7582 0.8996 0.5767